[1]
# La2PuAs3Pt4

A geometry-optimized La2PuAs3Pt4 structure (GGA-PBE, the Alexandria database).

* formation enthalpy at 0 K: -0.90 eV/atom
* calculated volume: 21.46 Å³/atom
* total DFT energy (no corrections): -7.1331 eV/atom
* density of states at the Fermi level: 1.360 states/eV per atom

```
data_La2PuAs3Pt4
_space_group_name_H-M_alt 'P -4 m 2'
_space_group_IT_number 115
_cell_length_a 4.325
_cell_length_b 4.325
_cell_length_c 11.471
_cell_angle_alpha 90.00
_cell_angle_beta 90.00
_cell_angle_gamma 90.00
loop_
_space_group_symop_operation_xyz
'x,y,z'
'y,-x,-z'
'-x,-y,z'
'-y,x,-z'
'-x,y,z'
'-y,-x,-z'
'x,-y,z'
'y,x,-z'
loop_
_atom_site_label
_atom_site_type_symbol
_atom_site_fract_x
_atom_site_fract_y
_atom_site_fract_z
_atom_site_occupancy
La1 La 0.000 0.500 0.220 1
Pu1 Pu 0.000 0.000 0.500 1
As1 As 0.000 0.500 0.878 1
As2 As 0.500 0.500 0.500 1
Pt1 Pt 0.000 0.000 0.000 1
Pt2 Pt 0.000 0.500 0.663 1
Pt3 Pt 0.500 0.500 0.000 1
```

[2]
# ReAs3S

A geometry-optimized ReAs3S structure (GGA-PBE, the Alexandria database).

* energy relative to the elements, uncorrected: 0.631 eV/atom
* calculated volume: 22.00 Å³/atom
* total DFT energy (no corrections): -5.4735 eV/atom
* polymorph energy (0 for the lowest one): 0.0 meV per atom
* density of states at the Fermi level: 0.547 states/eV per atom

```
data_ReAs3S
_space_group_name_H-M_alt 'P m -3 m'
_space_group_IT_number 221
_space_group_name_Hall '-P 4 2 3'
_cell_length_a 4.791
_cell_length_b 4.791
_cell_length_c 4.791
_cell_angle_alpha 90.00
_cell_angle_beta 90.00
_cell_angle_gamma 90.00
loop_
_atom_site_label
_atom_site_type_symbol
_atom_site_fract_x
_atom_site_fract_y
_atom_site_fract_z
_atom_site_occupancy
Re1 Re 0.000 0.000 0.000 1
As1 As 0.000 0.000 0.500 1
S1 S 0.500 0.500 0.500 1
```

[3]
# TaZnTe

A geometry-optimized TaZnTe structure (GGA-PBE, the Alexandria database).

* energy relative to the elements, uncorrected: 0.186 eV/atom
* calculated volume: 21.91 Å³/atom
* total DFT energy (no corrections): -5.2369 eV/atom
* polymorph energy (0 for the lowest one): 111.7 meV per atom
* density of states at the Fermi level: 0.777 states/eV per atom

```
data_TaZnTe
_space_group_name_H-M_alt 'P 3 m 1'
_space_group_IT_number 156
_cell_length_a 3.3746
_cell_length_b 3.3746
_cell_length_c 6.6656
_cell_angle_alpha 90.00
_cell_angle_beta 90.00
_cell_angle_gamma 120.00
loop_
_space_group_symop_operation_xyz
'x,y,z'
'-y,x-y,z'
'-x+y,-x,z'
'-y,-x,z'
'-x+y,y,z'
'x,x-y,z'
loop_
_atom_site_label
_atom_site_type_symbol
_atom_site_fract_x
_atom_site_fract_y
_atom_site_fract_z
_atom_site_occupancy
Ta1 Ta 0.0000 0.0000 0.0000 1
Zn1 Zn 0.6667 0.3333 0.6991 1
Te1 Te 0.3333 0.6667 0.2922 1
```

[4]
# InRu3N

A geometry-optimized InRu3N structure (GGA-PBE, the Alexandria database).

* energy relative to the elements, uncorrected: 3.203 eV/atom
* calculated volume: 24.66 Å³/atom
* total DFT energy (no corrections): -4.5753 eV/atom
* polymorph energy (0 for the lowest one): 3099.8 meV per atom
* density of states at the Fermi level: 1.079 states/eV per atom

```
data_InRu3N
_space_group_name_H-M_alt 'P m -3 m'
_space_group_IT_number 221
_space_group_name_Hall '-P 4 2 3'
_cell_length_a 4.977
_cell_length_b 4.977
_cell_length_c 4.977
_cell_angle_alpha 90.00
_cell_angle_beta 90.00
_cell_angle_gamma 90.00
loop_
_atom_site_label
_atom_site_type_symbol
_atom_site_fract_x
_atom_site_fract_y
_atom_site_fract_z
_atom_site_occupancy
In1 In 0.000 0.000 0.000 1
Ru1 Ru 0.000 0.000 0.500 1
N1 N 0.500 0.500 0.500 1
```

[5]
# LaCr2Rh

A geometry-optimized LaCr2Rh structure (GGA-PBE, the Alexandria database).

* formation enthalpy at 0 K: 0.37 eV/atom
* calculated volume: 18.80 Å³/atom
* total DFT energy (no corrections): -7.5098 eV/atom
* polymorph energy (0 for the lowest one): 266.3 meV per atom
* density of states at the Fermi level: 0.939 states/eV per atom

```
data_LaCr2Rh
_space_group_name_H-M_alt 'P 1 2/m 1'
_space_group_IT_number 10
_cell_length_a 2.973
_cell_length_b 4.674
_cell_length_c 5.550
_cell_angle_alpha 90.00
_cell_angle_beta 102.81
_cell_angle_gamma 90.00
loop_
_space_group_symop_operation_xyz
'x,y,z'
'-x,-y,-z'
'-x,y,-z'
'x,-y,z'
loop_
_atom_site_label
_atom_site_type_symbol
_atom_site_fract_x
_atom_site_fract_y
_atom_site_fract_z
_atom_site_occupancy
La1 La 0.000 0.000 0.000 1
Cr1 Cr 0.361 0.500 0.642 1
Rh1 Rh 0.000 0.000 0.500 1
```

[6]
# CuTeF6

A geometry-optimized CuTeF6 structure (GGA-PBE, the Alexandria database).

* energy relative to the elements, uncorrected: -1.839 eV/atom
* calculated volume: 15.00 Å³/atom
* total DFT energy (no corrections): -4.1477 eV/atom
* polymorph energy (0 for the lowest one): 19.4 meV per atom
* density of states at the Fermi level: 0.443 states/eV per atom

```
data_CuTeF6
_space_group_name_H-M_alt 'P -3 1 c'
_space_group_IT_number 163
_space_group_name_Hall '-P 3 2c'
_cell_length_a 5.2964
_cell_length_b 5.2964
_cell_length_c 9.8792
_cell_angle_alpha 90.00
_cell_angle_beta 90.00
_cell_angle_gamma 120.00
loop_
_atom_site_label
_atom_site_type_symbol
_atom_site_fract_x
_atom_site_fract_y
_atom_site_fract_z
_atom_site_occupancy
Cu1 Cu 0.3333 0.6667 0.2500 1
Te1 Te 0.0000 0.0000 0.0000 1
F1 F 0.0479 0.3363 0.1225 1
```

[7]
# LiZrOs2

A geometry-optimized LiZrOs2 structure (GGA-PBE, the Alexandria database).

* formation enthalpy at 0 K: 0.56 eV/atom
* calculated volume: 15.90 Å³/atom
* total DFT energy (no corrections): -7.6712 eV/atom
* density of states at the Fermi level: 1.349 states/eV per atom

```
data_LiZrOs2
_space_group_name_H-M_alt 'I -4 2 d'
_space_group_IT_number 122
_space_group_name_Hall 'I -4 2bw'
_cell_length_a 7.088
_cell_length_b 7.088
_cell_length_c 5.064
_cell_angle_alpha 90.00
_cell_angle_beta 90.00
_cell_angle_gamma 90.00
loop_
_atom_site_label
_atom_site_type_symbol
_atom_site_fract_x
_atom_site_fract_y
_atom_site_fract_z
_atom_site_occupancy
Li1 Li 0.000 0.000 0.000 1
Zr1 Zr 0.000 0.000 0.500 1
Os1 Os 0.205 0.250 0.125 1
```

[8]
# Nd2Ga2Ru2C

A geometry-optimized Nd2Ga2Ru2C structure (GGA-PBE, the Alexandria database).

* formation enthalpy at 0 K: -0.52 eV/atom
* calculated volume: 19.25 Å³/atom
* total DFT energy (no corrections): -6.7132 eV/atom
* density of states at the Fermi level: 0.536 states/eV per atom

```
data_Nd2Ga2Ru2C
_space_group_name_H-M_alt 'C 1 2/m 1'
_space_group_IT_number 12
_cell_length_a 11.342
_cell_length_b 4.210
_cell_length_c 7.287
_cell_angle_alpha 90.00
_cell_angle_beta 129.24
_cell_angle_gamma 90.00
loop_
_space_group_symop_operation_xyz
'x,y,z'
'-x,-y,-z'
'-x,y,-z'
'x,-y,z'
'x+1/2,y+1/2,z'
'-x+1/2,-y+1/2,-z'
'-x+1/2,y+1/2,-z'
'x+1/2,-y+1/2,z'
loop_
_atom_site_label
_atom_site_type_symbol
_atom_site_fract_x
_atom_site_fract_y
_atom_site_fract_z
_atom_site_occupancy
Nd1 Nd 0.060 0.000 0.291 1
Ga1 Ga 0.158 0.500 0.707 1
Ru1 Ru 0.196 0.500 0.091 1
C1 C 0.000 0.500 0.000 1
```

[9]
# Sm6Ir2PtI3

A geometry-optimized Sm6Ir2PtI3 structure (GGA-PBE, the Alexandria database).

* energy relative to the elements, uncorrected: -1.034 eV/atom
* calculated volume: 30.55 Å³/atom
* total DFT energy (no corrections): -5.7612 eV/atom
* density of states at the Fermi level: 0.477 states/eV per atom

```
data_Sm6Ir2PtI3
_space_group_name_H-M_alt 'C 1 2/m 1'
_space_group_IT_number 12
_cell_length_a 7.266
_cell_length_b 12.580
_cell_length_c 8.379
_cell_angle_alpha 90.00
_cell_angle_beta 106.80
_cell_angle_gamma 90.00
loop_
_space_group_symop_operation_xyz
'x,y,z'
'-x,-y,-z'
'-x,y,-z'
'x,-y,z'
'x+1/2,y+1/2,z'
'-x+1/2,-y+1/2,-z'
'-x+1/2,y+1/2,-z'
'x+1/2,-y+1/2,z'
loop_
_atom_site_label
_atom_site_type_symbol
_atom_site_fract_x
_atom_site_fract_y
_atom_site_fract_z
_atom_site_occupancy
Sm1 Sm 0.220 0.000 0.184 1
Sm2 Sm 0.232 0.330 0.184 1
Ir1 Ir 0.000 0.167 0.000 1
Pt1 Pt 0.000 0.500 0.000 1
I1 I 0.000 0.000 0.500 1
I2 I 0.000 0.333 0.500 1
```

[10]
# Sm3Dy3Cd2

A geometry-optimized Sm3Dy3Cd2 structure (GGA-PBE, the Alexandria database).

* formation enthalpy at 0 K: -0.06 eV/atom
* calculated volume: 30.52 Å³/atom
* total DFT energy (no corrections): -3.7871 eV/atom
* density of states at the Fermi level: 1.327 states/eV per atom

```
data_Sm3Dy3Cd2
_space_group_name_H-M_alt 'C m c m'
_space_group_IT_number 63
_space_group_name_Hall '-C 2c 2'
_cell_length_a 5.286
_cell_length_b 11.755
_cell_length_c 15.717
_cell_angle_alpha 90.00
_cell_angle_beta 90.00
_cell_angle_gamma 90.00
loop_
_atom_site_label
_atom_site_type_symbol
_atom_site_fract_x
_atom_site_fract_y
_atom_site_fract_z
_atom_site_occupancy
Sm1 Sm 0.000 0.039 0.107 1
Sm2 Sm 0.000 0.265 0.250 1
Dy1 Dy 0.000 0.356 0.033 1
Dy2 Dy 0.000 0.455 0.750 1
Cd1 Cd 0.000 0.231 0.636 1
```

[11]
# MnPbBr2

A geometry-optimized MnPbBr2 structure (GGA-PBE, the Alexandria database).

* energy relative to the elements, uncorrected: -0.164 eV/atom
* calculated volume: 26.81 Å³/atom
* total DFT energy (no corrections): -4.2198 eV/atom
* polymorph energy (0 for the lowest one): 232.4 meV per atom
* density of states at the Fermi level: 0.615 states/eV per atom

```
data_MnPbBr2
_space_group_name_H-M_alt 'P 4 m m'
_space_group_IT_number 99
_cell_length_a 3.568
_cell_length_b 3.568
_cell_length_c 8.421
_cell_angle_alpha 90.00
_cell_angle_beta 90.00
_cell_angle_gamma 90.00
loop_
_space_group_symop_operation_xyz
'x,y,z'
'-y,x,z'
'-x,-y,z'
'y,-x,z'
'-x,y,z'
'y,x,z'
'x,-y,z'
'-y,-x,z'
loop_
_atom_site_label
_atom_site_type_symbol
_atom_site_fract_x
_atom_site_fract_y
_atom_site_fract_z
_atom_site_occupancy
Mn1 Mn 0.000 0.000 0.000 1
Pb1 Pb 0.500 0.500 0.241 1
Br1 Br 0.000 0.000 0.477 1
Br2 Br 0.500 0.500 0.851 1
```

[12]
# Ba2YTc

A geometry-optimized Ba2YTc structure (GGA-PBE, the Alexandria database).

* formation enthalpy at 0 K: 0.39 eV/atom
* calculated volume: 37.84 Å³/atom
* total DFT energy (no corrections): -4.7788 eV/atom
* polymorph energy (0 for the lowest one): 0.0 meV per atom
* density of states at the Fermi level: 1.123 states/eV per atom

```
data_Ba2YTc
_space_group_name_H-M_alt 'P 1 m 1'
_space_group_IT_number 6
_cell_length_a 3.907
_cell_length_b 4.045
_cell_length_c 9.694
_cell_angle_alpha 90.00
_cell_angle_beta 98.87
_cell_angle_gamma 90.00
loop_
_space_group_symop_operation_xyz
'x,y,z'
'x,-y,z'
loop_
_atom_site_label
_atom_site_type_symbol
_atom_site_fract_x
_atom_site_fract_y
_atom_site_fract_z
_atom_site_occupancy
Ba1 Ba 0.000 0.000 0.000 1
Ba2 Ba 0.360 0.500 0.606 1
Y1 Y 0.761 0.000 0.337 1
Tc1 Tc 0.249 0.500 0.250 1
```